(1)
Below is a geometry-optimized HoCuNi2 structure, with properties calculated at the PBE-GGA level.

Its density is 9.76 g cm⁻³. For the total energy, the calculation gives -5.445 eV per atom.

It has space group R-3m (No. 166, hexagonal axes), with a = 5.0221 Å, b = 5.0221 Å, c = 24.2467 Å, α = 90.00°, β = 90.00° and γ = 120.00°. Symmetry generates all atoms from Ho at (0.0000, 0.0000, 0.0000), Ho at (0.0000, 0.0000, 0.1376), Cu at (0.0000, 0.0000, 0.3337), Cu at (0.0000, 0.0000, 0.5000) and Ni at (0.0037, 0.5018, 0.9169).

(2)
Below is a geometry-optimized Ho2CuNi structure, with properties calculated at the PBE-GGA level.

Its density is 9.19 g cm⁻³. For the total energy, the calculation gives -5.139 eV per atom.

It has space group P2_1/m (No. 11), with a = 5.389 Å, b = 4.398 Å, c = 7.328 Å, α = 90.00°, β = 109.83° and γ = 90.00°. Symmetry generates all atoms from Ho at (0.217, 0.250, 0.432), Ho at (0.227, 0.250, 0.929), Cu at (0.351, 0.750, 0.214) and Ni at (0.356, 0.750, 0.714).

(3)
Below is a geometry-optimized Ho8CuNi2 structure, with properties calculated at the PBE-GGA level.

Its density is 8.74 g cm⁻³. As for the distance to the lowest polymorph of the same formula: 103 meV per atom. For the total energy, the calculation gives -4.835 eV per atom.

It has space group Cm (No. 8), with a = 8.206 Å, b = 12.500 Å, c = 5.818 Å, α = 90.00°, β = 107.13° and γ = 90.00°. Symmetry generates all atoms from Ho at (0.000, 0.000, 0.000), Ho at (0.076, 0.369, 0.777), Ho at (0.159, 0.131, 0.579), Ho at (0.235, 0.500, 0.371), Ho at (0.365, 0.224, 0.185), Cu at (0.366, 0.000, 0.342) and Ni at (0.368, 0.309, 0.683).

(4)
Below is a geometry-optimized HoCu2Ni9 structure, with properties calculated at the PBE-GGA level.

Its density is 9.09 g cm⁻³. As for the distance to the lowest polymorph of the same formula: 0 meV per atom. For the total energy, the calculation gives -5.536 eV per atom.

It has space group P4/mbm (No. 127), with a = 7.984 Å, b = 7.984 Å, c = 4.704 Å, α = 90.00°, β = 90.00° and γ = 90.00°. Symmetry generates all atoms from Ho at (0.000, 0.000, 0.000), Cu at (0.115, 0.385, 0.000), Ni at (0.000, 0.500, 0.500), Ni at (0.064, 0.210, 0.500) and Ni at (0.179, 0.679, 0.239).

(5)
Below is a geometry-optimized Ho2Cu5Ni4 structure, with properties calculated at the PBE-GGA level.

Its density is 8.90 g cm⁻³. For the total energy, the calculation gives -4.990 eV per atom.

It has space group Fmmm (No. 69), with a = 4.947 Å, b = 8.376 Å, c = 15.896 Å, α = 90.00°, β = 90.00° and γ = 90.00°. Symmetry generates all atoms from Ho at (0.000, 0.000, 0.134), Cu at (0.000, 0.000, 0.500), Cu at (0.250, 0.250, 0.000), Cu at (0.250, 0.250, 0.250) and Ni at (0.000, 0.161, 0.372).

(6)
Below is a geometry-optimized HoCuNi structure, with properties calculated at the PBE-GGA level.

Its density is 9.05 g cm⁻³. For the total energy, the calculation gives -5.159 eV per atom.

It has space group P2 (No. 3), with a = 4.065 Å, b = 3.532 Å, c = 7.343 Å, α = 90.00°, β = 90.38° and γ = 90.00°. Symmetry generates all atoms from Ho at (0.250, 0.000, 0.230), Cu at (0.251, 0.502, 0.588) and Ni at (0.249, 0.499, 0.916).

(7)
Below is a geometry-optimized HoCu4Ni2 structure, with properties calculated at the PBE-GGA level.

Its density is 7.12 g cm⁻³. As for the distance to the lowest polymorph of the same formula: 597 meV per atom. For the total energy, the calculation gives -4.230 eV per atom.

It has space group I4/mmm (No. 139), with a = 7.110 Å, b = 7.110 Å, c = 4.948 Å, α = 90.00°, β = 90.00° and γ = 90.00°. Symmetry generates all atoms from Ho at (0.000, 0.000, 0.000), Cu at (0.000, 0.228, 0.500) and Ni at (0.000, 0.500, 0.250).

(8)
Below is a geometry-optimized HoCuNi2 structure, with properties calculated at the PBE-GGA level.

Its density is 8.47 g cm⁻³. For the total energy, the calculation gives -5.162 eV per atom.

It has space group Pmma (No. 51), with a = 5.099 Å, b = 4.678 Å, c = 11.368 Å, α = 90.00°, β = 90.00° and γ = 90.00°. Symmetry generates all atoms from Ho at (0.250, 0.000, 0.104), Ho at (0.250, 0.500, 0.395), Cu at (0.250, 0.000, 0.834), Cu at (0.250, 0.500, 0.824), Ni at (0.000, 0.000, 0.500), Ni at (0.000, 0.500, 0.000) and Ni at (0.250, 0.250, 0.643).